The following is a GGA+U calculation of SrCr2CoF8 after structural relaxation, from Alexandria via LeMat-Bulk.

Unit cell a=4.803 b=5.054 c=7.090 alpha=90.00 beta=90.00 gamma=87.37
Site moments in Bohr magnetons follow the coordinates.
Atoms (fractional coordinates):
F1 0.190 0.783 0.220  0.02
F2 0.698 0.717 0.000  0.04
F3 0.354 0.305 0.500  0.02
F4 0.302 0.283 0.000  0.04
F5 0.810 0.217 0.220  0.02
F6 0.190 0.783 0.780  0.02
F7 0.810 0.217 0.780  0.02
F8 0.646 0.695 0.500  0.02
Co1 0.000 0.000 0.000  2.80
Cr1 0.500 0.500 0.765  3.82
Cr2 0.500 0.500 0.235  3.82
Sr1 0.000 0.000 0.500  0.00

Summary:
- raw total energy (eV/f.u.) = -69.7